## i
## LiRe2Te2 (GGA-PBE)

Data for an optimized crystal structure of LiRe2Te2.

Cell: 5.7017 5.7017 5.7017 Å, 127.60 127.60 77.27°
Closest atoms and distances in Å follow each position.
Fractional coordinates of all 5 atoms:
Li (0.0000, 0.0000, 0.0000)  2 Re 3.30, 8 Te 3.36
Re (0.3706, 0.3706, 0.0000)  1 Re 2.31
Re (0.6294, 0.6294, 0.0000)  1 Re 2.31
Te (0.2500, 0.7500, 0.5000)  4 Re 2.74
Te (0.7500, 0.2500, 0.5000)  4 Re 2.74

## Properties
Theoretical density = 9.33 g/cm³
D(E_F) = 4.95 states/eV per cell


## ii
## LiRe2Te2 (GGA-PBE)

Data for an optimized crystal structure of LiRe2Te2.

Cell: 7.6708 7.6708 3.2416 Å, 90.00 90.00 90.00°
Closest atoms and distances in Å follow each position.
Fractional coordinates of all 10 atoms:
Li (0.0000, 0.0000, 0.0000)  4 Re 2.99, 2 Li 3.24, 8 Te 3.30
Li (0.5000, 0.5000, 0.0000)  4 Re 2.99, 2 Li 3.24, 8 Te 3.30
Re (0.1343, 0.3657, 0.0000)  6 Te 2.74-2.80, 1 Re 2.91, 2 Li 2.99
Re (0.3657, 0.8657, 0.0000)  6 Te 2.74-2.80, 1 Re 2.91, 2 Li 2.99
Re (0.6343, 0.1343, 0.0000)  6 Te 2.74-2.80, 1 Re 2.91, 2 Li 2.99
Re (0.8657, 0.6343, 0.0000)  6 Te 2.74-2.80, 1 Re 2.91, 2 Li 2.99
Te (0.1621, 0.6621, 0.5000)  6 Re 2.74-2.80
Te (0.3379, 0.1621, 0.5000)  6 Re 2.74-2.80
Te (0.6621, 0.8379, 0.5000)  6 Re 2.74-2.80
Te (0.8379, 0.3379, 0.5000)  6 Re 2.74-2.80

## Properties
Theoretical density = 11.05 g/cm³
D(E_F) = 9.55 states/eV per cell


Most stable structure: i


## i
## LiTi3Re (GGA-PBE)

Data for an optimized crystal structure of LiTi3Re.

Cell: 4.2592 4.2592 4.2592 Å, 90.00 90.00 90.00°
Closest atoms and distances in Å follow each position.
Fractional coordinates of all 5 atoms:
Li (0.0000, 0.0000, 0.0000)  6 Ti 2.13
Ti (0.0000, 0.0000, 0.5000)  2 Li 2.13
Ti (0.0000, 0.5000, 0.0000)  2 Li 2.13
Ti (0.5000, 0.0000, 0.0000)  2 Li 2.13
Re (0.5000, 0.5000, 0.5000)  12 Ti 3.01

## Properties
Theoretical density = 7.24 g/cm³
D(E_F) = 8.94 states/eV per cell


## ii
## LiTi3Re (GGA-PBE)

Data for an optimized crystal structure of LiTi3Re.

Cell: 4.8230 4.8230 4.8230 Å, 90.00 90.00 90.00°
Closest atoms and distances in Å follow each position.
Fractional coordinates of all 5 atoms:
Li (0.0000, 0.0000, 0.0000)  12 Ti 3.41
Ti (0.0000, 0.5000, 0.5000)  2 Re 2.41
Ti (0.5000, 0.0000, 0.5000)  2 Re 2.41
Ti (0.5000, 0.5000, 0.0000)  2 Re 2.41
Re (0.5000, 0.5000, 0.5000)  6 Ti 2.41

## Properties
Theoretical density = 4.98 g/cm³
D(E_F) = 9.28 states/eV per cell


Most stable structure: ii


## i
## LiTiRe2 (GGA-PBE)

Data for an optimized crystal structure of LiTiRe2.

Cell: 4.3135 4.3135 4.3135 Å, 60.00 60.00 60.00°
Closest atoms and distances in Å follow each position.
Fractional coordinates of all 4 atoms:
Li (0.0000, 0.0000, 0.0000)  8 Re 2.64
Ti (0.5000, 0.5000, 0.5000)  8 Re 2.64
Re (0.2500, 0.2500, 0.2500)  4 Li 2.64, 4 Ti 2.64
Re (0.7500, 0.7500, 0.7500)  4 Li 2.64, 4 Ti 2.64

## Properties
Theoretical density = 12.50 g/cm³
D(E_F) = 5.34 states/eV per cell


## ii
## LiTiRe2 (GGA-PBE)

Data for an optimized crystal structure of LiTiRe2.

Cell: 5.4821 5.4821 5.4821 Å, 102.36 102.36 124.89°
Closest atoms and distances in Å follow each position.
Fractional coordinates of all 8 atoms:
Li (0.0000, 0.0000, 0.0000)  4 Re 2.40, 2 Ti 2.54
Li (0.7500, 0.2500, 0.5000)  4 Re 2.40, 2 Ti 2.54
Ti (0.2500, 0.7500, 0.5000)  2 Li 2.54, 4 Re 2.62
Ti (0.5000, 0.5000, 0.0000)  2 Li 2.54, 4 Re 2.62
Re (0.1017, 0.6250, 0.9767)  2 Li 2.40, 2 Re 2.56, 2 Ti 2.62
Re (0.3750, 0.3517, 0.4767)  2 Li 2.40, 2 Re 2.56, 2 Ti 2.62
Re (0.6483, 0.1250, 0.0233)  2 Li 2.40, 2 Re 2.56, 2 Ti 2.62
Re (0.8750, 0.8983, 0.5233)  2 Li 2.40, 2 Re 2.56, 2 Ti 2.62

## Properties
Theoretical density = 11.84 g/cm³
D(E_F) = 5.47 states/eV per cell


Most stable structure: i


## i
## Li2TlRe (GGA-PBE)

Data for an optimized crystal structure of Li2TlRe.

Cell: 2.7662 2.7662 9.4204 Å, 90.00 90.00 105.55°
Closest atoms and distances in Å follow each position.
Fractional coordinates of all 4 atoms:
Li (0.0000, 0.0000, 0.2273)  2 Re 2.72, 4 Li 2.77
Li (0.0000, 0.0000, 0.7727)  2 Re 2.72, 4 Li 2.77
Tl (0.5000, 0.5000, 0.5000)  4 Tl 2.77, 4 Li 3.07
Re (0.5000, 0.5000, 0.0000)  4 Li 2.72, 4 Re 2.77

## Properties
Theoretical density = 9.67 g/cm³
D(E_F) = 2.37 states/eV per cell


## ii
## Li2TlRe (GGA-PBE)

Data for an optimized crystal structure of Li2TlRe.

Cell: 2.8290 4.7809 5.0204 Å, 90.00 92.49 90.00°
Closest atoms and distances in Å follow each position.
Fractional coordinates of all 4 atoms:
Li (0.2088, 0.0000, 0.2100)  1 Li 2.37
Li (0.7912, 0.0000, 0.7900)  1 Li 2.37
Tl (0.0000, 0.5000, 0.5000)  4 Re 2.83-2.93, 2 Tl 2.83, 4 Li 2.87
Re (0.5000, 0.5000, 0.0000)  4 Li 2.75, 4 Tl 2.83-2.93, 2 Re 2.83

## Properties
Theoretical density = 9.90 g/cm³
D(E_F) = 1.67 states/eV per cell


## iii
## Li2TlRe (GGA-PBE)

Data for an optimized crystal structure of Li2TlRe.

Cell: 4.9733 4.9733 4.9733 Å, 133.24 133.24 68.27°
Closest atoms and distances in Å follow each position.
Fractional coordinates of all 4 atoms:
Li (0.0000, 0.0000, 0.0000)  4 Tl 2.79, 4 Re 2.85, 4 Li 2.85
Li (0.7500, 0.2500, 0.5000)  4 Re 2.79, 4 Tl 2.85, 4 Li 2.85
Tl (0.5000, 0.5000, 0.0000)  8 Li 2.79-2.85, 4 Re 2.85
Re (0.2500, 0.7500, 0.5000)  8 Li 2.79-2.85, 4 Tl 2.85

## Properties
Theoretical density = 10.47 g/cm³
D(E_F) = 3.18 states/eV per cell


## iv
## Li2TlRe (GGA-PBE)

Data for an optimized crystal structure of Li2TlRe.

Cell: 2.7699 4.5851 5.4019 Å, 90.00 100.31 90.00°
Closest atoms and distances in Å follow each position.
Fractional coordinates of all 4 atoms:
Li (0.0000, 0.0000, 0.0000)  4 Li 2.66-2.77, 1 Tl 2.66, 2 Re 2.87
Li (0.1743, 0.5000, 0.7806)  4 Li 2.66-2.77, 2 Re 2.74-2.88, 2 Tl 2.87
Tl (0.3630, 0.0000, 0.4913)  3 Li 2.66-2.87, 2 Tl 2.77, 2 Re 2.86
Re (0.7082, 0.5000, 0.2584)  4 Li 2.74-2.88, 2 Re 2.77, 4 Tl 2.86-3.05

## Properties
Theoretical density = 9.95 g/cm³
D(E_F) = 2.85 states/eV per cell


Most stable structure: i


## i
## LiTl3Re (GGA-PBE)

Data for an optimized crystal structure of LiTl3Re.

Cell: 4.9924 4.9924 4.9924 Å, 90.00 90.00 90.00°
Closest atoms and distances in Å follow each position.
Fractional coordinates of all 5 atoms:
Li (0.0000, 0.0000, 0.0000)  6 Tl 2.50
Tl (0.0000, 0.0000, 0.5000)  2 Li 2.50
Tl (0.0000, 0.5000, 0.0000)  2 Li 2.50
Tl (0.5000, 0.0000, 0.0000)  2 Li 2.50
Re (0.5000, 0.5000, 0.5000)  12 Tl 3.53

## Properties
Theoretical density = 10.76 g/cm³
D(E_F) = 3.89 states/eV per cell


## ii
## LiTl3Re (GGA-PBE)

Data for an optimized crystal structure of LiTl3Re.

Cell: 5.3453 5.3453 5.3453 Å, 90.00 90.00 90.00°
Closest atoms and distances in Å follow each position.
Fractional coordinates of all 5 atoms:
Li (0.0000, 0.0000, 0.0000)  12 Tl 3.78
Tl (0.0000, 0.5000, 0.5000)  2 Re 2.67
Tl (0.5000, 0.0000, 0.5000)  2 Re 2.67
Tl (0.5000, 0.5000, 0.0000)  2 Re 2.67
Re (0.5000, 0.5000, 0.5000)  6 Tl 2.67

## Properties
Theoretical density = 8.77 g/cm³
D(E_F) = 2.99 states/eV per cell


Most stable structure: ii


## i
## LiVRe3 (GGA-PBE)

Data for an optimized crystal structure of LiVRe3.

Cell: 4.1208 4.1208 4.1208 Å, 90.00 90.00 90.00°
Closest atoms and distances in Å follow each position.
Fractional coordinates of all 5 atoms:
Li (0.0000, 0.0000, 0.0000)  6 Re 2.06
V (0.5000, 0.5000, 0.5000)  12 Re 2.91
Re (0.0000, 0.0000, 0.5000)  2 Li 2.06
Re (0.0000, 0.5000, 0.0000)  2 Li 2.06
Re (0.5000, 0.0000, 0.0000)  2 Li 2.06

## Properties
Theoretical density = 14.63 g/cm³
D(E_F) = 5.34 states/eV per cell


## ii
## LiVRe3 (GGA-PBE)

Data for an optimized crystal structure of LiVRe3.

Cell: 4.5210 4.5210 4.5210 Å, 90.00 90.00 90.00°
Closest atoms and distances in Å follow each position.
Fractional coordinates of all 5 atoms:
Li (0.0000, 0.0000, 0.0000)  12 Re 3.20
V (0.5000, 0.5000, 0.5000)  6 Re 2.26
Re (0.0000, 0.5000, 0.5000)  2 V 2.26
Re (0.5000, 0.0000, 0.5000)  2 V 2.26
Re (0.5000, 0.5000, 0.0000)  2 V 2.26

## Properties
Theoretical density = 11.08 g/cm³
D(E_F) = 4.95 states/eV per cell


Most stable structure: i